(1)
! RbVCdO4 | Alexandria via LeMat-Bulk | PBE+U | relaxed; values from VASP
! D(E_F) = 0.0 states/eV/f.u.
! Raw total energy = -5.850 eV/atom
&SYSTEM
  ibrav = 0, nat = 14, ntyp = 4
/
ATOMIC_SPECIES
O 16.00 O.upf
Cd 112.41 Cd.upf
V 50.94 V.upf
Rb 85.47 Rb.upf
CELL_PARAMETERS angstrom
5.8551 0.0000 0.0527
0.0000 6.1242 0.0000
-2.2383 0.0000 7.1129
ATOMIC_POSITIONS crystal
O 0.0765 0.9758 0.3164
O 0.5237 0.2500 0.7763
O 0.5620 0.2500 0.4108
O 0.4763 0.7500 0.2237
O 0.9235 0.0242 0.6836
O 0.4380 0.7500 0.5892
O 0.9235 0.4758 0.6836
O 0.0765 0.5242 0.3164
Cd 0.1767 0.2500 0.5307
Cd 0.8233 0.7500 0.4693
V 0.2781 0.7500 0.3610
V 0.7219 0.2500 0.6390
Rb 0.2744 0.2500 0.0510
Rb 0.7256 0.7500 0.9490

---

(2)
! RbV3Cd4O12 | Alexandria via LeMat-Bulk | PBE+U | relaxed; values from VASP
! D(E_F) = 0.0 states/eV/f.u.
! Raw total energy = -5.938 eV/atom
&SYSTEM
  ibrav = 0, nat = 40, ntyp = 4
/
ATOMIC_SPECIES
O 16.00 O.upf
Cd 112.41 Cd.upf
V 50.94 V.upf
Rb 85.47 Rb.upf
CELL_PARAMETERS angstrom
9.5751 0.0015 0.0122
-0.3267 9.5695 0.0122
2.1262 2.2004 6.5329
ATOMIC_POSITIONS crystal
O 0.7299 0.1794 0.9676
O 0.6012 0.9566 0.8219
O 0.8216 0.8188 0.6308
O 0.9916 0.3313 0.0987
O 0.8188 0.8216 0.1308
O 0.4780 0.7142 0.2731
O 0.3313 0.9916 0.5987
O 0.7142 0.4780 0.7731
O 0.8206 0.2717 0.5294
O 0.5272 0.2873 0.7266
O 0.6728 0.0029 0.3997
O 0.2717 0.8206 0.0294
O 0.9566 0.6012 0.3219
O 0.0346 0.3944 0.6766
O 0.2781 0.4891 0.7861
O 0.3944 0.0346 0.1766
O 0.4891 0.2781 0.2861
O 0.0029 0.6728 0.8997
O 0.1794 0.7299 0.4676
O 0.5210 0.7064 0.7091
O 0.1815 0.1827 0.8683
O 0.7064 0.5210 0.2091
O 0.1827 0.1815 0.3683
O 0.2873 0.5272 0.2266
Cd 0.3834 0.0658 0.8484
Cd 0.0658 0.3834 0.3484
Cd 0.2615 0.7364 0.7570
Cd 0.9396 0.6165 0.6444
Cd 0.6165 0.9396 0.1444
Cd 0.5120 0.5285 0.5432
Cd 0.5285 0.5120 0.0432
Cd 0.7364 0.2615 0.2570
V 0.8700 0.6511 0.1373
V 0.1250 0.3520 0.8591
V 0.7041 0.2989 0.7498
V 0.6511 0.8700 0.6373
V 0.2989 0.7041 0.2498
V 0.3520 0.1250 0.3591
Rb 0.0301 0.9737 0.2487
Rb 0.9737 0.0301 0.7487

---

(3)
! RbV3Cd3O11 | Alexandria via LeMat-Bulk | PBE+U | relaxed; values from VASP
! D(E_F) = 0.0 states/eV/f.u.
! Raw total energy = -6.152 eV/atom
&SYSTEM
  ibrav = 0, nat = 72, ntyp = 4
/
ATOMIC_SPECIES
O 16.00 O.upf
Cd 112.41 Cd.upf
V 50.94 V.upf
Rb 85.47 Rb.upf
CELL_PARAMETERS angstrom
8.5702 0.0000 -0.0105
0.0000 9.9693 0.0000
-1.8805 0.0000 12.7327
ATOMIC_POSITIONS crystal
O 0.2159 0.2408 0.6486
O 0.4166 0.7323 0.9076
O 0.8695 0.2301 0.7329
O 0.1305 0.7699 0.2671
O 0.7830 0.7445 0.6037
O 0.4190 0.7592 0.1877
O 0.6756 0.9832 0.2168
O 0.8695 0.2699 0.2329
O 0.0547 0.5044 0.1272
O 0.0389 0.4971 0.3760
O 0.6532 0.5107 0.9450
O 0.6532 0.9893 0.4450
O 0.3245 0.4941 0.5078
O 0.4190 0.7408 0.6877
O 0.6755 0.5059 0.4922
O 0.3205 0.0074 0.2825
O 0.9453 0.0044 0.3728
O 0.9453 0.4956 0.8728
O 0.2170 0.2445 0.8963
O 0.0547 0.9956 0.6272
O 0.9611 0.9971 0.1240
O 0.5810 0.2592 0.3123
O 0.5810 0.2408 0.8123
O 0.3205 0.4926 0.7825
O 0.3468 0.4893 0.0550
O 0.7830 0.7555 0.1037
O 0.6795 0.5074 0.2175
O 0.6755 0.9941 0.9922
O 0.9611 0.5029 0.6240
O 0.3245 0.0059 0.0078
O 0.2170 0.2555 0.3963
O 0.1305 0.7301 0.7671
O 0.6756 0.5168 0.7168
O 0.3244 0.4832 0.2832
O 0.5834 0.2677 0.0924
O 0.7841 0.7592 0.3514
O 0.3244 0.0168 0.7832
O 0.0389 0.0029 0.8760
O 0.5834 0.2323 0.5924
O 0.4166 0.7677 0.4076
O 0.7841 0.7408 0.8514
O 0.3468 0.0107 0.5550
O 0.2159 0.2592 0.1486
O 0.6795 0.9926 0.7175
Cd 0.4530 0.3551 0.9320
Cd 0.4316 0.1067 0.1536
Cd 0.0800 0.1247 0.2611
Cd 0.5470 0.6449 0.0680
Cd 0.9200 0.6247 0.2389
Cd 0.4316 0.3933 0.6536
Cd 0.5684 0.8933 0.8464
Cd 0.9200 0.8753 0.7389
Cd 0.0800 0.3753 0.7611
Cd 0.5684 0.6067 0.3464
Cd 0.4530 0.1449 0.4320
Cd 0.5470 0.8551 0.5680
V 0.3202 0.8246 0.2843
V 0.3202 0.6754 0.7843
V 0.7644 0.9326 0.3510
V 0.2236 0.0686 0.8944
V 0.6798 0.1754 0.7157
V 0.7764 0.9314 0.1056
V 0.2356 0.0674 0.6490
V 0.7644 0.5674 0.8510
V 0.2356 0.4326 0.1490
V 0.2236 0.4314 0.3944
V 0.6798 0.3246 0.2157
V 0.7764 0.5686 0.6056
Rb 0.1113 0.7539 0.0095
Rb 0.1113 0.7461 0.5095
Rb 0.8887 0.2461 0.9905
Rb 0.8887 0.2539 0.4905

---

(4)
! RbV4Cd3O12 | Alexandria via LeMat-Bulk | PBE+U | relaxed; values from VASP
! D(E_F) = 6.8 states/eV/f.u.
! Raw total energy = -6.101 eV/atom
&SYSTEM
  ibrav = 0, nat = 20, ntyp = 4
/
ATOMIC_SPECIES
V 50.94 V.upf
O 16.00 O.upf
Rb 85.47 Rb.upf
Cd 112.41 Cd.upf
CELL_PARAMETERS angstrom
-3.5956 -6.1168 -2.0766
5.2441 1.7196 -4.9192
2.9432 -0.8808 6.7244
ATOMIC_POSITIONS crystal
V 0.9259 0.0741 0.5000
V 0.5000 0.9259 0.0741
V 0.5000 0.5000 0.5000
V 0.0741 0.5000 0.9259
O 0.7959 0.1364 0.6613
O 0.9292 0.5000 0.0708
O 0.5000 0.0708 0.9292
O 0.0708 0.9292 0.5000
O 0.5000 0.3576 0.6424
O 0.3387 0.8636 0.2041
O 0.1364 0.6613 0.7959
O 0.8636 0.2041 0.3387
O 0.3576 0.6424 0.5000
O 0.6613 0.7959 0.1364
O 0.6424 0.5000 0.3576
O 0.2041 0.3387 0.8636
Rb 0.0000 0.0000 0.0000
Cd 0.0000 0.5666 0.4334
Cd 0.5666 0.4334 0.0000
Cd 0.4334 0.0000 0.5666

---

(5)
! RbCdWO4 | Alexandria via LeMat-Bulk | PBE+U | relaxed; values from VASP
! D(E_F) = 3.0 states/eV/f.u.
! Raw total energy = -5.681 eV/atom
&SYSTEM
  ibrav = 0, nat = 7, ntyp = 4
/
ATOMIC_SPECIES
O 16.00 O.upf
Rb 85.47 Rb.upf
Cd 112.41 Cd.upf
W 183.84 W.upf
CELL_PARAMETERS angstrom
-1.6271 3.6271 -4.9050
1.7555 -4.5834 -3.9716
-4.3211 -1.2613 4.5641
ATOMIC_POSITIONS crystal
O 0.3316 0.7701 0.2722
O 0.9406 0.5021 0.2722
O 0.4979 0.6684 0.7278
O 0.2299 0.0594 0.7278
Rb 0.0000 0.0000 0.0000
Cd 0.5000 0.5000 0.0000
W 0.2500 0.7500 0.5000

---

(6)
! Rb2CdWO4 | Alexandria via LeMat-Bulk | PBE+U | relaxed; values from VASP
! D(E_F) = 0.0 states/eV/f.u.
! Raw total energy = -5.368 eV/atom
&SYSTEM
  ibrav = 0, nat = 8, ntyp = 4
/
ATOMIC_SPECIES
O 16.00 O.upf
W 183.84 W.upf
Rb 85.47 Rb.upf
Cd 112.41 Cd.upf
CELL_PARAMETERS angstrom
-1.9386 6.2970 -0.3005
0.0729 -2.4811 -6.1107
-4.1953 -3.3194 3.8578
ATOMIC_POSITIONS crystal
O 0.2602 0.7430 0.8095
O 0.0666 0.5173 0.2570
O 0.7398 0.5493 0.4827
O 0.9334 0.1905 0.4507
W 0.0000 0.5000 0.5000
Rb 0.5000 0.7500 0.2500
Rb 0.0000 0.0000 0.0000
Cd 0.5000 0.2500 0.7500

---

(7)
! RbCdWO2 | Alexandria via LeMat-Bulk | PBE+U | relaxed; values from VASP
! D(E_F) = 3.0 states/eV/f.u.
! Raw total energy = -2.519 eV/atom
&SYSTEM
  ibrav = 0, nat = 5, ntyp = 4
/
ATOMIC_SPECIES
W 183.84 W.upf
Cd 112.41 Cd.upf
O 16.00 O.upf
Rb 85.47 Rb.upf
CELL_PARAMETERS angstrom
4.9089 0.0000 0.0000
0.0000 7.0618 0.0000
0.0000 0.0000 4.9089
ATOMIC_POSITIONS crystal
W 0.0000 0.5000 0.0000
Cd 0.5000 0.5000 0.5000
O 0.0000 0.0000 0.5000
O 0.5000 0.0000 0.0000
Rb 0.0000 0.0000 0.0000

---

(8)
! RbCdW2O8 | Alexandria via LeMat-Bulk | PBE+U | relaxed; values from VASP
! D(E_F) = 11.6 states/eV/f.u.
! Raw total energy = -6.156 eV/atom
&SYSTEM
  ibrav = 0, nat = 12, ntyp = 4
/
ATOMIC_SPECIES
W 183.84 W.upf
O 16.00 O.upf
Cd 112.41 Cd.upf
Rb 85.47 Rb.upf
CELL_PARAMETERS angstrom
-5.3658 -3.7266 -0.6381
5.1010 -2.9909 2.8496
-1.6378 5.0594 3.8479
ATOMIC_POSITIONS crystal
W 0.5000 0.5000 0.0000
W 0.7500 0.2500 0.5000
O 0.3361 0.1582 0.8221
O 0.8942 0.2000 0.3058
O 0.4117 0.1058 0.3058
O 0.3361 0.5139 0.1779
O 0.8000 0.1058 0.6942
O 0.8418 0.6639 0.1779
O 0.4861 0.6639 0.8221
O 0.8942 0.5883 0.6942
Cd 0.0000 0.0000 0.0000
Rb 0.2500 0.7500 0.5000

---

(9)
! Rb2Cd2WO6 | Alexandria via LeMat-Bulk | PBE+U | relaxed; values from VASP
! D(E_F) = 0.0 states/eV/f.u.
! Raw total energy = -5.259 eV/atom
&SYSTEM
  ibrav = 0, nat = 11, ntyp = 4
/
ATOMIC_SPECIES
O 16.00 O.upf
Rb 85.47 Rb.upf
Cd 112.41 Cd.upf
W 183.84 W.upf
CELL_PARAMETERS angstrom
5.7591 0.0685 0.0056
-2.7869 5.0403 0.0056
-1.1140 -1.9148 6.5454
ATOMIC_POSITIONS crystal
O 0.3414 0.0555 0.6725
O 0.9445 0.6586 0.3275
O 0.2189 0.2189 0.3330
O 0.7811 0.7811 0.6670
O 0.0555 0.3414 0.6725
O 0.6586 0.9445 0.3275
Rb 0.1754 0.8246 0.0000
Rb 0.8246 0.1754 0.0000
Cd 0.3360 0.6640 0.5000
Cd 0.6640 0.3360 0.5000
W 0.0000 0.0000 0.5000

---

- Which of these has the lowest raw total energy?
  RbCdW2O8

---

- Which formula does entry 1 have?
  RbVCdO4